Entry 1:
Here is crystalline Ba3Li at its relaxed geometry from the Alexandria database. Energies are from PBEsol.

The structure in POSCAR format:
```
Ba3Li
1.0
4.296 0.000 0.000
-2.148 3.721 0.000
0.000 0.000 12.714
Ba Li
3 1
Direct
0.000 0.000 0.000 Ba
0.667 0.333 0.282 Ba
0.667 0.333 0.718 Ba
0.000 0.000 0.500 Li
```

Values from the calculation:
- Total moment: 0.001 Bohr magnetons per cell
- Energy of formation: 0.091 eV/atom
- E_tot: -8.0 eV/cell

=====

Entry 2:
Here is crystalline BaLi3 at its relaxed geometry from the Alexandria database. Energies are from PBEsol.

The structure in POSCAR format:
```
BaLi3
1.0
8.928 0.000 0.000
0.000 8.194 0.000
0.000 0.000 6.769
Ba Li
4 12
Direct
0.030 0.250 0.121 Ba
0.470 0.750 0.621 Ba
0.530 0.250 0.379 Ba
0.970 0.750 0.879 Ba
0.128 0.750 0.351 Li
0.162 0.062 0.585 Li
0.162 0.438 0.585 Li
0.338 0.562 0.085 Li
0.338 0.938 0.085 Li
0.372 0.250 0.851 Li
0.628 0.750 0.149 Li
0.662 0.062 0.915 Li
0.662 0.438 0.915 Li
0.838 0.562 0.415 Li
0.838 0.938 0.415 Li
0.872 0.250 0.649 Li
```

Values from the calculation:
- Total moment: 0.000 Bohr magnetons per cell
- Energy of formation: 0.034 eV/atom
- E_tot: -31.7 eV/cell

=====

Entry 3:
Here is crystalline BaLi at its relaxed geometry from the Alexandria database. Energies are from PBEsol.

The structure in POSCAR format:
```
BaLi
1.0
2.441 -6.679 0.000
2.441 6.679 0.000
0.000 0.000 5.230
Ba Li
2 2
Direct
0.146 0.854 0.750 Ba
0.854 0.146 0.250 Ba
0.438 0.562 0.750 Li
0.562 0.438 0.250 Li
```

Values from the calculation:
- Total moment: 0.000 Bohr magnetons per cell
- Energy of formation: 0.053 eV/atom
- Energy above the most stable polymorph in this dataset: 14.6 meV/atom
- E_tot: -8.0 eV/cell

=====

Entry 4:
Here is crystalline BaLi at its relaxed geometry from the Alexandria database. Energies are from PBEsol.

The structure in POSCAR format:
```
BaLi
1.0
2.424 1.400 8.612
-2.424 1.400 8.612
0.000 -2.799 8.612
Ba Li
2 2
Direct
0.096 0.096 0.096 Ba
0.904 0.904 0.904 Ba
0.333 0.333 0.333 Li
0.667 0.667 0.667 Li
```

Values from the calculation:
- Total moment: 0.000 Bohr magnetons per cell
- Energy of formation: 0.087 eV/atom
- Energy above the most stable polymorph in this dataset: 48.4 meV/atom
- E_tot: -7.9 eV/cell

=====

Entry 5:
Here is crystalline BaLi at its relaxed geometry from the Alexandria database. Energies are from PBEsol.

The structure in POSCAR format:
```
BaLi
1.0
12.129 0.000 0.000
0.000 11.083 0.000
0.000 0.000 7.457
Ba Li
12 12
Direct
0.120 0.250 0.000 Ba
0.120 0.250 0.500 Ba
0.197 0.629 0.250 Ba
0.197 0.871 0.750 Ba
0.373 0.024 0.250 Ba
0.373 0.476 0.750 Ba
0.627 0.524 0.250 Ba
0.627 0.976 0.750 Ba
0.803 0.129 0.250 Ba
0.803 0.371 0.750 Ba
0.880 0.750 0.000 Ba
0.880 0.750 0.500 Ba
0.069 0.544 0.750 Li
0.069 0.956 0.250 Li
0.368 0.149 0.750 Li
0.368 0.351 0.250 Li
0.459 0.750 0.000 Li
0.459 0.750 0.500 Li
0.541 0.250 0.000 Li
0.541 0.250 0.500 Li
0.632 0.649 0.750 Li
0.632 0.851 0.250 Li
0.931 0.044 0.750 Li
0.931 0.456 0.250 Li
```

Values from the calculation:
- Total moment: 0.001 Bohr magnetons per cell
- Energy of formation: 0.064 eV/atom
- Energy above the most stable polymorph in this dataset: 25.5 meV/atom
- E_tot: -47.9 eV/cell

=====

Entry 6:
Here is crystalline BaLi at its relaxed geometry from the Alexandria database. Energies are from PBEsol.

The structure in POSCAR format:
```
BaLi
1.0
7.184 -2.080 0.000
7.184 2.080 0.000
-2.442 0.000 8.007
Ba Li
3 3
Direct
0.000 0.000 0.000 Ba
0.015 0.015 0.482 Ba
0.718 0.718 0.858 Ba
0.324 0.324 0.212 Li
0.333 0.333 0.608 Li
0.708 0.708 0.345 Li
```

Values from the calculation:
- Total moment: 0.000 Bohr magnetons per cell
- Energy of formation: 0.074 eV/atom
- Energy above the most stable polymorph in this dataset: 36.2 meV/atom
- E_tot: -11.9 eV/cell

=====

no.,V (Å³ per cell)
1,203.2
2,495.1
3,170.5
4,175.3
5,1002.5
6,239.3